1.
Compound: TaAgAs3
Source: the Alexandria database
Functional: PBE
Structure: optimized geometry

Structure (POSCAR):
```
TaAgAs3
1.0
4.8559 0.0000 0.0000
0.0000 4.8559 0.0000
0.0000 0.0000 4.8559
Ta Ag As
1 1 3
Cartesian
0.0000 0.0000 0.0000
2.4279 2.4279 2.4279
0.0000 2.4279 2.4279
2.4279 0.0000 2.4279
2.4279 2.4279 0.0000
```

Properties
- Calculated volume: 114 Å³/f.u.
- Distance to the lowest polymorph of the same formula: 0.947 eV per atom
- Space-group type: Pm-3m (221)
- Final energy: -4.3729 eV/atom
- E_form: 1.36 eV/atom
- Spin magnetization: 0.0 μB per formula unit

=====

2.
Compound: Ta2AgAs
Source: the Alexandria database
Functional: PBE
Structure: optimized geometry

Structure (POSCAR):
```
Ta2AgAs
1.0
3.1866 0.0000 0.0000
0.0000 3.1866 0.0000
0.0000 0.0000 6.8414
Ta Ag As
2 1 1
Cartesian
0.0000 0.0000 1.4917
0.0000 0.0000 5.3497
1.5933 1.5933 3.4207
1.5933 1.5933 0.0000
```

Properties
- Calculated volume: 69 Å³/f.u.
- Space-group type: P4/mmm (123)
- Final energy: -7.6780 eV/atom
- E_form: 0.12 eV/atom
- Spin magnetization: 0.0 μB per formula unit

=====

3.
Compound: Ta2AgAs
Source: the Alexandria database
Functional: PBE
Structure: optimized geometry

Structure (POSCAR):
```
Ta2AgAs
1.0
1.7833 -2.3350 0.0000
1.7833 2.3350 0.0000
0.0000 0.0000 8.8271
Ta Ag As
2 1 1
Cartesian
0.0000 0.0000 0.0000
1.7833 0.0000 2.1936
0.0000 0.0000 4.4473
1.7833 0.0000 6.8776
```

Properties
- Calculated volume: 74 Å³/f.u.
- Space-group type: Cmm2 (35)
- Final energy: -7.7900 eV/atom
- E_form: 0.01 eV/atom
- Spin magnetization: 0.0 μB per formula unit

=====

4.
Compound: Ta2AgAs
Source: the Alexandria database
Functional: PBE
Structure: optimized geometry

Structure (POSCAR):
```
Ta2AgAs
1.0
-1.8317 2.3565 4.0731
1.8317 -2.3565 4.0731
1.8317 2.3565 -4.0731
Ta Ag As
2 1 1
Cartesian
0.0000 0.0000 1.8434
0.0000 0.0000 6.3028
0.0000 2.3565 0.0000
1.8317 0.0000 0.0000
```

Properties
- Calculated volume: 70 Å³/f.u.
- Space-group type: Immm (71)
- Final energy: -7.6599 eV/atom
- E_form: 0.14 eV/atom
- Spin magnetization: 0.0 μB per formula unit